Material: Na3Sr2MoO6
Method: DFT, PBE+U
State: relaxed

abc: 6.065 6.065 5.874
angles: 99.58 99.58 120.39
Positions (direct):
O (0.927, 0.647, 0.781)
O (0.205, 0.205, 0.800)
O (0.647, 0.927, 0.781)
O (0.073, 0.353, 0.219)
O (0.795, 0.795, 0.200)
O (0.353, 0.073, 0.219)
Na (0.500, 0.500, 0.500)
Na (0.848, 0.152, 0.500)
Na (0.152, 0.848, 0.500)
Mo (0.000, 0.000, 0.000)
Sr (0.670, 0.330, 0.000)
Sr (0.330, 0.670, 0.000)

## Properties
The calculated density is 4123 kg/m3. Its total magnetization is 0.083 μB per atom. The calculation puts the density of states at the Fermi level at 0.00 states/eV per atom. For the total energy, the calculation gives -5.73 eV per atom.